Tl4SeCl2 | PBE-GGA | optimized geometry

Cell lengths 8.370, 8.374, 8.380 Å; angles 107.68, 110.33, 110.33 degrees
Sites, in units of the cell vectors:
1 Tl 0.000 0.000 0.000
2 Tl 0.002 0.001 0.500
3 Tl 0.127 0.643 0.771
4 Tl 0.369 0.517 0.142
5 Tl 0.499 0.371 0.628
6 Tl 0.502 0.871 0.629
7 Tl 0.627 0.143 0.271
8 Tl 0.870 0.514 0.145
9 Se 0.250 0.882 0.262
10 Se 0.749 0.633 0.510
11 Cl 0.144 0.402 0.386
12 Cl 0.355 0.113 0.886
13 Cl 0.644 0.758 0.030
14 Cl 0.855 0.258 0.741

Values from the calculation:
Calculated total energy = -3.09 eV/atom
Density = 7.102 g cm⁻³
Energy relative to the elements, uncorrected = -0.710 eV/atom
Relative energy among the computed polymorphs = 0.0 meV per atom

---

ZrV2HgW | PBE-GGA | optimized geometry

Cell lengths 4.695, 4.695, 4.878 Å; angles 90.00, 90.00, 90.00 degrees
Sites, in units of the cell vectors:
1 Zr 0.000 0.000 0.000
2 V 0.000 0.500 0.000
3 V 0.500 0.000 0.000
4 Hg 0.500 0.500 0.500
5 W 0.000 0.000 0.500

Values from the calculation:
Calculated total energy = -6.14 eV/atom
Density = 8.921 g cm⁻³
Energy relative to the elements = 1872.7 meV/atom

---

Look up the calculated total energy of the first one.
-3.09 eV/atom

---

The highest density belongs to which entry?
ZrV2HgW